[1]
Compound: SrCa2Si
Source: the Alexandria database
Functional: GGA-PBEsol
Structure: optimized geometry

Lattice parameters (Å, degrees): 7.7540 7.7540 7.7540 90.00 90.00 90.00
Closest atoms and distances in Å follow each position.
Space group F-43m (No. 216)
Unique sites:
Sr 0.0000 0.0000 0.0000 [4 per cell]  4 Ca 3.36, 4 Si 3.36
Ca 0.0000 0.0000 0.5000 [4 per cell]  4 Ca 3.36, 4 Si 3.36
Ca 0.2500 0.2500 0.7500 [4 per cell]  4 Ca 3.36, 4 Sr 3.36
Si 0.2500 0.2500 0.2500 [4 per cell]  4 Ca 3.36, 4 Sr 3.36

Results
The uncorrected formation energy comes out at -0.06 eV/f.u. Its magnetization is 0.001 μB/cell. The calculation puts the density of states at the Fermi level at 12.47 states/eV per cell.

=====

[2]
Compound: SrCa2Si
Source: the Alexandria database
Functional: GGA-PBEsol
Structure: optimized geometry

Lattice parameters (Å, degrees): 3.5859 4.9587 15.5638 90.00 90.00 90.00
Closest atoms and distances in Å follow each position.
Space group Imm2 (No. 44)
Unique sites:
Sr 0.0000 0.0000 0.0000 [2 per cell]  2 Si 3.18
Ca 0.0000 0.0000 0.6747 [2 per cell]  2 Si 3.02
Ca 0.0000 0.5000 0.8310 [2 per cell]  4 Si 3.06
Si 0.0000 0.5000 0.3313 [2 per cell]  6 Ca 3.02-3.06, 2 Sr 3.18

Results
The uncorrected formation energy comes out at -0.69 eV/f.u. Its magnetization is 0.000 μB/cell. The calculation puts the density of states at the Fermi level at 6.14 states/eV per cell.

=====

[3]
Compound: Sr2CaSi
Source: the Alexandria database
Functional: GGA-PBEsol
Structure: optimized geometry

Lattice parameters (Å, degrees): 5.0912 5.0912 9.5802 90.00 90.00 90.00
Closest atoms and distances in Å follow each position.
Space group I4/mmm (No. 139)
Unique sites:
Sr 0.0000 0.5000 0.2500 [4 per cell]  4 Ca 3.50, 4 Si 3.50, 4 Sr 3.60
Ca 0.0000 0.0000 0.0000 [2 per cell]  8 Sr 3.50, 4 Si 3.60
Si 0.0000 0.0000 0.5000 [2 per cell]  8 Sr 3.50, 4 Ca 3.60

Results
The uncorrected formation energy comes out at -0.09 eV/f.u. Its magnetization is 0.000 μB/cell. The calculation puts the density of states at the Fermi level at 4.04 states/eV per cell.

=====

[4]
Compound: SrCa2Si
Source: the Alexandria database
Functional: GGA-PBEsol
Structure: optimized geometry

Lattice parameters (Å, degrees): 4.8912 4.8912 9.7502 90.00 90.00 90.00
Closest atoms and distances in Å follow each position.
Space group I4/mmm (No. 139)
Unique sites:
Sr 0.0000 0.0000 0.0000 [2 per cell]  8 Ca 3.45, 4 Si 3.46
Ca 0.0000 0.5000 0.2500 [4 per cell]  4 Sr 3.45, 4 Si 3.45, 4 Ca 3.46
Si 0.0000 0.0000 0.5000 [2 per cell]  8 Ca 3.45, 4 Sr 3.46

Results
The uncorrected formation energy comes out at -0.12 eV/f.u. Its magnetization is 0.001 μB/cell. The calculation puts the density of states at the Fermi level at 6.48 states/eV per cell.